The following is a DFT calculation (GGA-PBE) of NaPaRu2O8 after structural relaxation.

Cell lengths 5.8788, 5.8788, 6.9450 Å; angles 90.00, 90.00, 120.00 degrees
With the nearest neighbours (Å) after each atom.
Space group P-3m1 (No. 164)
One atom of each set of equivalent atoms:
Na (0.0000, 0.0000, 0.0000)  6 O 2.71
Pa (0.0000, 0.0000, 0.5000)  6 O 2.17
Ru (0.3333, 0.6667, 0.8064)  4 O 1.73-1.87
O (0.1662, 0.3325, 0.6949)  1 Ru 1.87
O (0.3333, 0.6667, 0.0554)  1 Ru 1.73

Computed properties:
* total magnetization: 1.89 μB/f.u.
* crystal system: trigonal
* formation energy (no corrections): -1.57 eV per atom
* uncorrected energy: -7.322 eV per atom
* density of states at the Fermi level: 9.93 states/eV/f.u.
* theoretical density: 4667 kg/m³